Here is a relaxed structure of LaDyPb2 from Alexandria. Energies are from PBE-GGA.

The calculation puts the final energy at -4.617 eV per atom. As for the volume: 129 Å³/cell. For the calculated formation energy, the calculation gives -1.523 eV per formula unit.

Unit cell a=3.952 b=3.952 c=9.802 alpha=78.37 beta=78.37 gamma=60.00
Sites, in units of the cell vectors:
La1 0.500 0.500 0.500
Dy1 0.000 0.000 0.000
Pb1 0.746 0.746 0.761
Pb2 0.254 0.254 0.239